A relaxed structure of AlRe2Si. Source: Alexandria via LeMat-Bulk, functional GGA-PBE.

Cell lengths 3.021, 4.746, 8.058 Å; angles 90.00, 90.00, 90.00 degrees
Fractional coordinates of all 8 atoms:
1 Al 0.000 0.000 0.000
2 Al 0.500 0.500 0.000
3 Re 0.000 0.500 0.263
4 Re 0.000 0.500 0.737
5 Re 0.500 0.000 0.263
6 Re 0.500 0.000 0.737
7 Si 0.000 0.000 0.500
8 Si 0.500 0.500 0.500

energy relative to the lowest polymorph listed for this composition	299	meV per atom
uncorrected formation energy	0.03	eV per atom
space group	Cmmm (65)
size of the total moment	0.00	Bohr magnetons per cell